<P>
Below is a crystal of Mo2OsW relaxed with PBEsol, with properties calculated at the SCAN level.

Summary:
* total moment: 0.000 μB/atom
* V: 60 Å³ per cell

Cell: 3.1172 4.3973 5.1662 Å, 115.19 107.56 90.00°
Atoms (fractional coordinates):
Mo  0.2597  0.2597  0.5195
Mo  0.7403  0.7403  0.4805
Os  0.5000  0.0000  0.0000
W  0.0000  0.5000  0.0000

---

<Q>
Below is a crystal of Mo2OsW relaxed with PBEsol, with properties calculated at the SCAN level.

Summary:
* total moment: 0.000 μB/atom
* V: 60 Å³ per cell

Cell: 3.0999 4.3960 4.4289 Å, 90.00 90.00 90.00°
Atoms (fractional coordinates):
Mo  0.5000  0.5000  0.0000
Mo  0.0000  0.0000  0.0000
Os  0.5000  0.0000  0.5000
W  0.0000  0.5000  0.5000

---

Most stable structure: <P>

---

<P>
Below is a crystal of Mo2OsW relaxed with PBEsol, with properties calculated at the SCAN level.

Summary:
* total moment: 0.000 μB/atom
* V: 60 Å³ per cell

Cell: 3.1166 3.1166 6.2277 Å, 90.00 90.00 90.00°
Atoms (fractional coordinates):
Mo  0.0000  0.0000  0.0036
Mo  0.5000  0.5000  0.2376
W  0.5000  0.5000  0.7525
Os  0.0000  0.0000  0.5062

---

<Q>
Below is a crystal of Mo2OsW relaxed with PBEsol, with properties calculated at the SCAN level.

Summary:
* total moment: 0.000 μB/atom
* V: 61 Å³ per cell

Cell: 2.7512 2.7512 9.4317 Å, 81.61 81.61 60.00°
Atoms (fractional coordinates):
Mo  0.2463  0.2463  0.2612
Mo  0.9998  0.9998  0.0007
Os  0.5004  0.5004  0.4989
W  0.7536  0.7536  0.7392

---

Most stable structure: <P>

---

<P>
Below is a crystal of ReMoP2 relaxed with PBEsol, with properties calculated at the SCAN level.

Summary:
* total moment: 0.000 μB/atom
* V: 53 Å³ per cell

Cell: 3.0294 4.3808 4.4401 Å, 105.07 109.95 90.00°
Atoms (fractional coordinates):
Mo  0.7426  0.1782  0.4853
P  0.2465  0.7104  0.4930
P  0.0024  0.0368  0.0048
Re  0.5084  0.5746  0.0169

---

<Q>
Below is a crystal of ReMoP2 relaxed with PBEsol, with properties calculated at the SCAN level.

Summary:
* total moment: 0.000 μB/atom
* V: 51 Å³ per cell

Cell: 4.1734 4.1734 4.1734 Å, 60.00 60.00 60.00°
Atoms (fractional coordinates):
Re  0.5000  0.5000  0.5000
P  0.7500  0.7500  0.7500
P  0.2500  0.2500  0.2500
Mo  0.0000  0.0000  0.0000

---

Most stable structure: <P>

---

<P>
Below is a crystal of MoPRhS2 relaxed with PBEsol, with properties calculated at the SCAN level.

Summary:
* total moment: 0.468 μB/atom
* V: 91 Å³ per cell

Cell: 4.3706 4.5645 4.5645 Å, 90.00 90.00 90.00°
Site moments in Bohr magnetons follow the coordinates.
Atoms (fractional coordinates):
P  0.5000  0.0000  0.0000  -0.29
Mo  0.5000  0.5000  0.5000  3.35
S  0.0000  0.0000  0.5000  -0.23
S  0.0000  0.5000  0.0000  -0.23
Rh  0.0000  0.0000  0.0000  -0.18

---

<Q>
Below is a crystal of MoPRhS2 relaxed with PBEsol, with properties calculated at the SCAN level.

Summary:
* total moment: 0.230 μB/atom
* V: 95 Å³ per cell

Cell: 4.4987 4.4987 4.6724 Å, 90.00 90.00 90.00°
Site moments in Bohr magnetons follow the coordinates.
Atoms (fractional coordinates):
P  0.0000  0.0000  0.5000  0.02
Mo  0.0000  0.0000  0.0000  -0.12
Rh  0.5000  0.5000  0.5000  0.96
S  0.5000  0.0000  0.0000  0.10
S  0.0000  0.5000  0.0000  0.10

---

Most stable structure: <Q>

---

<P>
Below is a crystal of SiMoP2S relaxed with PBEsol, with properties calculated at the SCAN level.

Summary:
* total moment: 0.000 μB/atom
* V: 99 Å³ per cell

Cell: 4.4800 4.7031 4.7031 Å, 90.00 90.00 90.00°
Atoms (fractional coordinates):
P  0.0000  0.0000  0.5000
P  0.0000  0.5000  0.0000
Mo  0.0000  0.0000  0.0000
Si  0.5000  0.5000  0.5000
S  0.5000  0.0000  0.0000

---

<Q>
Below is a crystal of SiMoP2S relaxed with PBEsol, with properties calculated at the SCAN level.

Summary:
* total moment: 0.497 μB/atom
* V: 85 Å³ per cell

Cell: 4.3879 4.3879 4.3940 Å, 90.00 90.00 90.00°
Site moments in Bohr magnetons follow the coordinates.
Atoms (fractional coordinates):
P  0.5000  0.0000  0.0000  -0.21
P  0.0000  0.5000  0.0000  -0.21
Mo  0.5000  0.5000  0.5000  3.08
Si  0.0000  0.0000  0.0000  0.02
S  0.0000  0.0000  0.5000  -0.19

---

Most stable structure: <P>

---

<P>
Below is a crystal of SrMoP2 relaxed with PBEsol, with properties calculated at the SCAN level.

Summary:
* total moment: 0.000 μB/atom
* V: 77 Å³ per cell

Cell: 3.2397 3.4549 7.2819 Å, 103.72 102.85 90.00°
Atoms (fractional coordinates):
P  0.0773  0.0773  0.1546
P  0.2699  0.7699  0.5399
Sr  0.4500  0.4500  0.9000
Mo  0.7028  0.2028  0.4055

---

<Q>
Below is a crystal of SrMoP2 relaxed with PBEsol, with properties calculated at the SCAN level.

Summary:
* total moment: 0.000 μB/atom
* V: 72 Å³ per cell

Cell: 3.2730 4.7863 4.7863 Å, 97.03 99.69 99.69°
Atoms (fractional coordinates):
Sr  0.5000  0.5000  0.5000
P  0.0000  0.0000  0.5000
P  0.0000  0.5000  0.0000
Mo  0.5000  0.0000  0.0000

---

Most stable structure: <P>

---

<P>
Below is a crystal of TeMo2P relaxed with PBEsol, with properties calculated at the SCAN level.

Summary:
* total moment: 0.001 μB/atom
* V: 66 Å³ per cell

Cell: 4.5320 4.5320 4.5320 Å, 60.00 60.00 60.00°
Atoms (fractional coordinates):
P  0.5000  0.5000  0.5000
Mo  0.2500  0.2500  0.2500
Mo  0.0000  0.0000  0.0000
Te  0.7500  0.7500  0.7500

---

<Q>
Below is a crystal of TeMo2P relaxed with PBEsol, with properties calculated at the SCAN level.

Summary:
* total moment: 0.000 μB/atom
* V: 71 Å³ per cell

Cell: 3.1939 3.1939 8.2134 Å, 78.79 78.79 60.00°
Atoms (fractional coordinates):
Mo  0.0019  0.0019  0.9944
Mo  0.7569  0.7569  0.7292
P  0.4865  0.4865  0.5404
Te  0.2547  0.2547  0.2360

---

Most stable structure: <Q>

---

<P>
Below is a crystal of TlMo2P relaxed with PBEsol, with properties calculated at the SCAN level.

Summary:
* total moment: 0.000 μB/atom
* V: 66 Å³ per cell

Cell: 3.2875 4.2703 4.6923 Å, 90.00 90.00 90.00°
Atoms (fractional coordinates):
Mo  0.0000  0.0000  0.0000
Mo  0.5000  0.0000  0.5000
Tl  0.0000  0.5000  0.5000
P  0.5000  0.5000  0.0000

---

<Q>
Below is a crystal of TlMo2P relaxed with PBEsol, with properties calculated at the SCAN level.

Summary:
* total moment: 0.000 μB/atom
* V: 71 Å³ per cell

Cell: 3.3781 3.4288 7.2774 Å, 82.10 76.58 60.49°
Atoms (fractional coordinates):
Mo  0.7482  0.1739  0.3297
Mo  0.2518  0.8261  0.6703
Tl  0.5000  0.0000  0.0000
P  0.0000  0.5000  0.5000

---

Most stable structure: <Q>

---

<P>
Below is a crystal of TlMo2P relaxed with PBEsol, with properties calculated at the SCAN level.

Summary:
* total moment: 0.000 μB/atom
* V: 66 Å³ per cell

Cell: 2.9700 5.1161 5.1161 Å, 112.74 102.47 102.47°
Atoms (fractional coordinates):
Tl  0.5000  0.5000  0.5000
Mo  0.0000  0.0000  0.5000
Mo  0.0000  0.5000  0.0000
P  0.5000  0.0000  0.0000

---

<Q>
Below is a crystal of TlMo2P relaxed with PBEsol, with properties calculated at the SCAN level.

Summary:
* total moment: 0.000 μB/atom
* V: 70 Å³ per cell

Cell: 3.4062 3.4062 7.2341 Å, 76.38 76.38 60.00°
Atoms (fractional coordinates):
P  0.5806  0.5806  0.2582
Mo  0.1890  0.1890  0.4329
Mo  0.9725  0.9725  0.0826
Tl  0.7482  0.7482  0.7554

---

Most stable structure: <Q>

---

<P>
Below is a crystal of MoPW relaxed with PBEsol, with properties calculated at the SCAN level.

Summary:
* total moment: 0.000 μB/atom
* V: 46 Å³ per cell

Cell: 4.0288 4.0288 4.0288 Å, 60.00 60.00 60.00°
Atoms (fractional coordinates):
Mo  0.5000  0.5000  0.5000
W  0.0000  0.0000  0.0000
P  0.7500  0.7500  0.7500

---

<Q>
Below is a crystal of MoPW relaxed with PBEsol, with properties calculated at the SCAN level.

Summary:
* total moment: 0.000 μB/atom
* V: 42 Å³ per cell

Cell: 2.9339 2.9339 5.3081 Å, 106.04 106.04 90.00°
Atoms (fractional coordinates):
P  0.6656  0.6656  0.3313
W  0.3148  0.3148  0.6296
Mo  0.0196  0.0196  0.0392

---

Most stable structure: <Q>

---

<P>
Below is a crystal of MoRuPb2 relaxed with PBEsol, with properties calculated at the SCAN level.

Summary:
* total moment: 0.000 μB/atom
* V: 77 Å³ per cell

Cell: 3.0808 5.4266 5.4266 Å, 108.97 104.69 104.69°
Atoms (fractional coordinates):
Mo  0.5000  0.5000  0.5000
Pb  0.0000  0.0000  0.5000
Pb  0.0000  0.5000  0.0000
Ru  0.5000  0.0000  0.0000

---

<Q>
Below is a crystal of MoRuPb2 relaxed with PBEsol, with properties calculated at the SCAN level.

Summary:
* total moment: 0.000 μB/atom
* V: 84 Å³ per cell

Cell: 3.0636 3.0636 10.4292 Å, 81.55 81.55 60.00°
Atoms (fractional coordinates):
Ru  0.5109  0.5109  0.4674
Pb  0.9859  0.9859  0.0423
Pb  0.7657  0.7657  0.7030
Mo  0.2376  0.2376  0.2873

---

<R>
Below is a crystal of MoRuPb2 relaxed with PBEsol, with properties calculated at the SCAN level.

Summary:
* total moment: 0.419 μB/atom
* V: 74 Å³ per cell

Cell: 4.7051 4.7051 4.7051 Å, 60.00 60.00 60.00°
Site moments in Bohr magnetons follow the coordinates.
Atoms (fractional coordinates):
Mo  0.0000  0.0000  0.0000  1.42
Pb  0.7500  0.7500  0.7500  -0.06
Pb  0.2500  0.2500  0.2500  -0.06
Ru  0.5000  0.5000  0.5000  0.35

---

Most stable structure: <Q>

---

<P>
Below is a crystal of ScMoPb2 relaxed with PBEsol, with properties calculated at the SCAN level.

Summary:
* total moment: 0.261 μB/atom
* V: 85 Å³ per cell

Cell: 3.4117 5.1251 5.1251 Å, 104.33 97.07 97.07°
Site moments in Bohr magnetons follow the coordinates.
Atoms (fractional coordinates):
Mo  0.5000  0.0000  0.0000  1.23
Sc  0.5000  0.5000  0.5000  -0.15
Pb  0.0000  0.0000  0.5000  -0.02
Pb  0.0000  0.5000  0.0000  -0.02

---

<Q>
Below is a crystal of ScMoPb2 relaxed with PBEsol, with properties calculated at the SCAN level.

Summary:
* total moment: 0.000 μB/atom
* V: 86 Å³ per cell

Cell: 3.1780 4.7242 5.7604 Å, 90.00 95.42 90.00°
Atoms (fractional coordinates):
Pb  0.1951  0.0000  0.2548
Pb  0.8049  0.0000  0.7452
Mo  0.0000  0.5000  0.5000
Sc  0.5000  0.5000  0.0000

---

<R>
Below is a crystal of ScMoPb2 relaxed with PBEsol, with properties calculated at the SCAN level.

Summary:
* total moment: 0.001 μB/atom
* V: 82 Å³ per cell

Cell: 4.7269 4.9691 4.7269 Å, 118.40 90.00 118.40°
Atoms (fractional coordinates):
Mo  0.0000  0.0000  0.0000
Sc  0.5000  0.0000  0.5000
Pb  0.2500  0.5000  0.7500
Pb  0.7500  0.5000  0.2500

---

Most stable structure: <R>